Ba6Na2PRh | PBE-GGA | optimized geometry

Lattice parameters (Å, degrees): 12.633 12.640 8.931 90.00 134.96 90.00
Space group Cm (No. 8)
Unique sites:
Ba: 0.000 0.000 0.000
Ba: 0.000 0.000 0.494
Ba: 0.006 0.500 0.000
Ba: 0.006 0.500 0.506
Ba: 0.253 0.253 0.000
Na: 0.253 0.250 0.500
P: 0.253 0.000 0.000
Rh: 0.253 0.500 0.000

E = -59.3 eV for the cell shown